The following is a PBE calculation of a relaxed MgZnSe3 crystal, from the Alexandria database.

a b c (Å): 5.635 5.635 5.635
angles (deg): 124.52 124.52 82.34
Element x y z (fractional)
Se: 0.098 0.598 0.500
Se: 0.162 0.162 0.000
Se: 0.598 0.098 0.500
Mg: 0.489 0.489 0.000
Zn: 0.831 0.831 0.000

Properties
Raw formation energy: -0.196 eV/atom
Offset from the most stable computed form: 201.2 meV per atom
V: 116.7 Å³ per cell



The following is a PBE calculation of a relaxed BaInB crystal, from the Alexandria database.

a b c (Å): 4.362 6.380 7.551
angles (deg): 84.06 56.58 78.31
Element x y z (fractional)
In: 0.987 0.569 0.451
In: 0.558 0.954 0.781
Ba: 0.034 0.504 0.930
Ba: 0.462 0.999 0.318
B: 0.654 0.243 0.553
B: 0.550 0.423 0.428

Properties
Formation energy from the elements: 0.04 eV/atom
V: 171.7 Å³ per cell



The following is a PBE calculation of a relaxed HfIn3Te crystal, from the Alexandria database.

a b c (Å): 5.623 5.623 5.623
angles (deg): 90.00 90.00 90.00
Site moments in Bohr magnetons follow the coordinates.
Element x y z (fractional)
Hf: 0.500 0.500 0.500  0.47
In: 0.500 0.000 0.000  0.00
In: 0.000 0.500 0.000  0.01
In: 0.000 0.000 0.500  -0.01
Te: 0.000 0.000 0.000  0.02

Properties
Raw formation energy: 1.101 eV/atom
Offset from the most stable computed form: 473.2 meV per atom
V: 177.8 Å³ per cell



- What is the V in the second record?
  171.7 Å³ per cell